# YHfSbI2 PBE relaxed
# - total DFT energy (no corrections) (eV per cell) = -23.60
data_YHfSbI2
_space_group_name_H-M_alt 'P 4/m m m'
_space_group_IT_number 123
_space_group_name_Hall '-P 4 2'
_cell_length_a 5.5174
_cell_length_b 5.5174
_cell_length_c 5.7302
_cell_angle_alpha 90.00
_cell_angle_beta 90.00
_cell_angle_gamma 90.00
loop_
_atom_site_label
_atom_site_type_symbol
_atom_site_fract_x
_atom_site_fract_y
_atom_site_fract_z
Y1 Y 0.0000 0.0000 0.0000
Hf1 Hf 0.5000 0.5000 0.5000
Sb1 Sb 0.5000 0.5000 0.0000
I1 I 0.0000 0.5000 0.5000